1.
A relaxed structure of ZnIn3Ir, computed with GGA-PBEsol.

a = 4.8502 Å, b = 4.8502 Å, c = 4.8502 Å
α = 90.00°, β = 90.00°, γ = 90.00°
Closest atoms and distances in Å follow each position.
Fractional coordinates of all 5 atoms:
Zn 0.0000 0.0000 0.0000  6 In 2.43
In 0.0000 0.0000 0.5000  2 Zn 2.43
In 0.0000 0.5000 0.0000  2 Zn 2.43
In 0.5000 0.0000 0.0000  2 Zn 2.43
Ir 0.5000 0.5000 0.5000  12 In 3.43

Results
Energy of formation from the pure elements: 983.2 meV/atom

=====

2.
A relaxed structure of AlReTc, computed with GGA-PBEsol.

a = 2.9584 Å, b = 2.9584 Å, c = 9.5378 Å
α = 90.00°, β = 90.00°, γ = 90.00°
Closest atoms and distances in Å follow each position.
Fractional coordinates of all 6 atoms:
Al 0.0000 0.0000 0.0000  4 Tc 2.63, 4 Re 2.65
Al 0.5000 0.5000 0.5000  4 Tc 2.63, 4 Re 2.65
Re 0.0000 0.0000 0.6712  4 Tc 2.60, 4 Al 2.65
Re 0.5000 0.5000 0.1712  4 Tc 2.60, 4 Al 2.65
Tc 0.0000 0.0000 0.3331  4 Re 2.60, 4 Al 2.63
Tc 0.5000 0.5000 0.8331  4 Re 2.60, 4 Al 2.63

Results
Energy of formation from the pure elements: -335.2 meV/atom